No. 1
ZrTaTc | Alexandria via LeMat-Bulk | meta-GGA SCAN | PBEsol geometry; polymorph energy (0 for the lowest one) = 1.493 eV/atom; VASP energy = -128.9 eV/cell; SG = F-43m
1.0
4.3895 0.0000 0.0000
2.1947 3.8014 0.0000
2.1947 1.2671 3.5840
Tc Ta Zr
1 1 1
Direct
0.5000 0.5000 0.5000
0.0000 0.0000 0.0000
0.2500 0.2500 0.2500



No. 2
InFeP4 | Alexandria via LeMat-Bulk | meta-GGA SCAN | PBEsol geometry; VASP energy = -88.2 eV/cell; SG = F-43m
1.0
-1.5022 -4.8821 0.0984
0.2634 -2.8397 -4.2389
3.4576 -3.7443 -0.3556
P In Fe
4 1 1
Direct
0.3780 0.3780 0.3780
0.3780 0.3780 0.8660
0.8660 0.3780 0.3780
0.3780 0.8660 0.3780
0.0000 0.0000 0.0000
0.7500 0.7500 0.7500



No. 3
Cu2HgI4 | Alexandria via LeMat-Bulk | meta-GGA SCAN | PBEsol geometry; VASP energy = -246.8 eV/cell; SG = P-42m
1.0
5.9827 0.0000 0.0000
0.0000 5.9827 0.0000
0.0000 0.0000 6.2462
I Hg Cu
4 1 2
Direct
0.2693 0.2693 0.2659
0.7307 0.7307 0.2659
0.2693 0.7307 0.7341
0.7307 0.2693 0.7341
0.0000 0.0000 0.0000
0.0000 0.5000 0.5000
0.5000 0.0000 0.5000